[1]
Here is a geometry-optimized PuMnV structure from Alexandria. Energies are from PBE.

Results
Uncorrected energy   -31.9 eV/f.u.
Relative energy among the computed polymorphs   0.26 eV/f.u.
Space-group type   P3m1, No. 156
Energy of formation   0.242 eV per atom

The structure in POSCAR format:
```
PuMnV
1.0
4.3502 0.0000 0.0000
-2.1751 3.7674 0.0000
0.0000 0.0000 2.7573
Pu Mn V
1 1 1
direct
0.0000 0.0000 0.0000
0.6667 0.3333 0.7060
0.3333 0.6667 0.2700
```

[2]
Here is a geometry-optimized AlCr2GeAs structure from Alexandria. Energies are from PBE.

Results
Uncorrected energy   -28.0 eV/f.u.
Space-group type   P4/mmm, No. 123
Energy of formation   0.842 eV per atom

The structure in POSCAR format:
```
AlCr2GeAs
1.0
4.7120 0.0000 0.0000
0.0000 4.7120 0.0000
0.0000 0.0000 4.9962
Al Cr Ge As
1 2 1 1
direct
0.0000 0.0000 0.0000
0.0000 0.5000 0.5000
0.5000 0.0000 0.5000
0.5000 0.5000 0.0000
0.5000 0.5000 0.5000
```

[3]
Here is a geometry-optimized UTe4As structure from Alexandria. Energies are from PBE.

Results
Uncorrected energy   -29.9 eV/f.u.
Formation energy (no corrections)   -0.22 eV/atom
Space-group type   C2/c, No. 15

The structure in POSCAR format:
```
UTe4As
1.0
4.6337 -7.2803 0.0000
4.6337 7.2803 0.0000
-4.1787 0.0000 5.5753
U Te As
2 8 2
direct
0.1251 0.8749 0.7500
0.8749 0.1251 0.2500
0.1190 0.5538 0.3529
0.1950 0.2621 0.7498
0.2621 0.1950 0.2498
0.4462 0.8810 0.1471
0.5538 0.1190 0.8529
0.7379 0.8050 0.7502
0.8050 0.7379 0.2502
0.8810 0.4462 0.6471
0.4113 0.5887 0.2500
0.5887 0.4113 0.7500
```